[1]
Computed, not measured: a relaxed structure of Th4NiBi at the GGA-PBE level of DFT.

Cell lengths 6.1927, 7.4903, 7.4903 Å; angles 90.00, 90.00, 90.00 degrees
With the nearest neighbours (Å) after each atom.
Fractional coordinates of all 12 atoms:
Th  0.5000  0.3591  0.8186  2 Ni 3.03, 2 Bi 3.39
Th  0.0000  0.1814  0.6409  2 Ni 3.03, 2 Bi 3.39
Th  0.5000  0.6409  0.1814  2 Ni 3.03, 2 Bi 3.39
Ni  0.7500  0.5000  0.5000  8 Th 3.03, 2 Ni 3.10
Th  0.0000  0.6409  0.8186  2 Ni 3.03, 2 Bi 3.39
Th  0.5000  0.8186  0.6409  2 Ni 3.03, 2 Bi 3.39
Th  0.0000  0.8186  0.3591  2 Ni 3.03, 2 Bi 3.39
Ni  0.2500  0.5000  0.5000  8 Th 3.03, 2 Ni 3.10
Bi  0.7500  0.0000  0.0000  2 Bi 3.10, 8 Th 3.39
Bi  0.2500  0.0000  0.0000  2 Bi 3.10, 8 Th 3.39
Th  0.0000  0.3591  0.1814  2 Ni 3.03, 2 Bi 3.39
Th  0.5000  0.1814  0.3591  2 Ni 3.03, 2 Bi 3.39

Results
Its symmetry is P4/mcc, No. 124. The calculated formation energy is -0.2585 eV/atom. For the calculated volume, the calculation gives 28.95 Å³ per atom.

***

[2]
Computed, not measured: a relaxed structure of NaGe3Au at the GGA-PBE level of DFT.

Cell lengths 4.9939, 4.9939, 4.9939 Å; angles 90.00, 90.00, 90.00 degrees
With the nearest neighbours (Å) after each atom.
Fractional coordinates of all 5 atoms:
Au  0.5000  0.5000  0.5000  12 Ge 3.53
Na  0.0000  0.0000  0.0000  6 Ge 2.50
Ge  0.0000  0.0000  0.5000  2 Na 2.50
Ge  0.0000  0.5000  0.0000  2 Na 2.50
Ge  0.5000  0.0000  0.0000  2 Na 2.50

Results
Its symmetry is Pm-3m, No. 221. The calculated formation energy is 1.0767 eV/atom. For the energy relative to the lowest polymorph listed for this composition, the calculation gives 1184 meV/atom. For the calculated volume, the calculation gives 24.91 Å³ per atom.

***

[3]
Computed, not measured: a relaxed structure of Sc2Ga5Ni3 at the GGA-PBE level of DFT.

Cell lengths 4.0880, 6.3168, 12.0653 Å; angles 90.00, 99.75, 90.00 degrees
With the nearest neighbours (Å) after each atom.
Fractional coordinates of all 20 atoms:
Ga  0.7104  0.0104  0.4208  3 Ni 2.41-2.44, 1 Ga 2.62
Sc  0.8269  0.2244  0.6537  9 Ga 2.87-3.14, 4 Ni 2.90-3.17
Ni  0.3940  0.0199  0.7880  6 Ga 2.45-2.69, 1 Sc 2.68
Ni  0.0485  0.9749  0.0971  5 Ga 2.41-2.52
Sc  0.4823  0.7568  0.9646  5 Ni 2.68-2.93, 6 Ga 2.86-2.98
Ga  0.0511  0.5763  0.1021  4 Ni 2.45-2.52, 1 Ga 2.68
Ga  0.9489  0.0763  0.8979  4 Ni 2.45-2.52, 1 Ga 2.68
Ga  0.2940  0.9256  0.5881  4 Ni 2.45-2.48, 1 Ga 2.62
Ga  0.4003  0.4110  0.8006  3 Ni 2.41-2.48
Ga  0.7060  0.4256  0.4119  4 Ni 2.45-2.48, 1 Ga 2.62
Ni  0.9515  0.4749  0.9029  5 Ga 2.41-2.52
Ni  0.2253  0.2145  0.4506  7 Ga 2.41-2.48
Ga  0.2896  0.5104  0.5792  3 Ni 2.41-2.44, 1 Ga 2.62
Sc  0.5177  0.2568  0.0354  5 Ni 2.68-2.93, 6 Ga 2.86-2.98
Ni  0.6060  0.5199  0.2120  6 Ga 2.45-2.69, 1 Sc 2.68
Ni  0.7747  0.7145  0.5494  7 Ga 2.41-2.48
Ga  0.8765  0.7510  0.7530  4 Ni 2.43-2.69, 1 Ga 2.68
Ga  0.1235  0.2510  0.2470  4 Ni 2.43-2.69, 1 Ga 2.68
Sc  0.1731  0.7244  0.3463  9 Ga 2.87-3.14, 4 Ni 2.90-3.17
Ga  0.5997  0.9110  0.1994  3 Ni 2.41-2.48

Results
Its symmetry is Cmc2_1, No. 36. The calculated formation energy is -0.5613 eV/atom. For the energy relative to the lowest polymorph listed for this composition, the calculation gives 0 meV/atom. For the calculated volume, the calculation gives 15.35 Å³ per atom.

***

Among the records above, which one has the lowest calculated formation energy?
Sc2Ga5Ni3

***

What did the first record say?
Computed, not measured: a relaxed structure of Th4NiBi at the GGA-PBE level of DFT.

Cell lengths 6.1927, 7.4903, 7.4903 Å; angles 90.00, 90.00, 90.00 degrees
With the nearest neighbours (Å) after each atom.
Fractional coordinates of all 12 atoms:
Th  0.5000  0.3591  0.8186  2 Ni 3.03, 2 Bi 3.39
Th  0.0000  0.1814  0.6409  2 Ni 3.03, 2 Bi 3.39
Th  0.5000  0.6409  0.1814  2 Ni 3.03, 2 Bi 3.39
Ni  0.7500  0.5000  0.5000  8 Th 3.03, 2 Ni 3.10
Th  0.0000  0.6409  0.8186  2 Ni 3.03, 2 Bi 3.39
Th  0.5000  0.8186  0.6409  2 Ni 3.03, 2 Bi 3.39
Th  0.0000  0.8186  0.3591  2 Ni 3.03, 2 Bi 3.39
Ni  0.2500  0.5000  0.5000  8 Th 3.03, 2 Ni 3.10
Bi  0.7500  0.0000  0.0000  2 Bi 3.10, 8 Th 3.39
Bi  0.2500  0.0000  0.0000  2 Bi 3.10, 8 Th 3.39
Th  0.0000  0.3591  0.1814  2 Ni 3.03, 2 Bi 3.39
Th  0.5000  0.1814  0.3591  2 Ni 3.03, 2 Bi 3.39

Results
Its symmetry is P4/mcc, No. 124. The calculated formation energy is -0.2585 eV/atom. For the calculated volume, the calculation gives 28.95 Å³ per atom.

***

Which value of calculated formation energy does entry 1 give?
-0.2585 eV/atom